The following is a PBE+U calculation of an optimized crystal structure of VAg4O5, from the Alexandria database.

Properties
The symmetry is I4. The spin magnetization is 0.000 μB/f.u. The value obtained for the uncorrected energy is -49.59 eV/cell.

Lattice parameters (Å, degrees): 5.7790 5.7790 5.7790 106.55 106.55 115.48
Fractional positions:
V  0.0000  0.0000  0.0000
Ag  0.2320  0.5433  0.6873
Ag  0.5433  0.8560  0.3113
Ag  0.5448  0.2320  0.6887
Ag  0.8560  0.5448  0.3127
O  0.2589  0.8852  0.9986
O  0.2603  0.2589  0.3736
O  0.7178  0.7178  0.0000
O  0.8852  0.8866  0.6264
O  0.8866  0.2603  0.0014